Compound: TaFeRu
Source: Alexandria
Functional: GGA-PBE
Structure: optimized geometry

```
data_TaFeRu
_chemical_formula_sum 'Ta12 Fe12 Ru12'
_cell_length_a 8.285
_cell_length_b 9.820
_cell_length_c 6.437
_cell_angle_alpha 90.00
_cell_angle_beta 90.00
_cell_angle_gamma 90.00
_space_group_name_H-M_alt 'I m a 2'
_space_group_IT_number 46
loop_
_space_group_symop_operation_xyz
'x,y,z'
'-x,-y,z'
'-x+1/2,y,z'
'x+1/2,-y,z'
'x+1/2,y+1/2,z+1/2'
'-x+1/2,-y+1/2,z+1/2'
'-x,y+1/2,z+1/2'
'x,-y+1/2,z+1/2'
loop_
_atom_site_label
_atom_site_type_symbol
_atom_site_fract_x
_atom_site_fract_y
_atom_site_fract_z
Ta1 Ta 0.016 0.189 0.000
Ta2 Ta 0.250 0.090 0.656
Fe1 Fe 0.000 0.000 0.721
Fe2 Fe 0.098 0.584 0.864
Ru1 Ru 0.250 0.155 0.285
Ru2 Ru 0.250 0.548 0.524
Ru3 Ru 0.250 0.697 0.186
```

Results
formation energy from the elements	0.5	kcal/mol of atoms
E	-354.4	eV/cell